[1]
BaMn2Zn | PBE | optimized geometry

Unit cell a=6.2341 b=10.8762 c=3.1919 alpha=90.00 beta=119.92 gamma=90.00
With the nearest neighbours (Å) after each atom.
Atoms (fractional coordinates):
Ba 0.0000 0.0000 0.0000  4 Zn 3.12-3.16, 4 Mn 3.14, 2 Ba 3.19
Ba 0.5000 0.5000 0.0000  4 Zn 3.12-3.16, 4 Mn 3.14, 2 Ba 3.19
Mn 0.2500 0.2500 0.5000  6 Mn 3.12-3.19, 2 Ba 3.14, 2 Zn 3.14
Mn 0.2500 0.7500 0.5000  6 Mn 3.12-3.19, 2 Zn 3.14, 2 Ba 3.14
Mn 0.7500 0.2500 0.5000  6 Mn 3.12-3.19, 2 Ba 3.14, 2 Zn 3.14
Mn 0.7500 0.7500 0.5000  6 Mn 3.12-3.19, 2 Ba 3.14, 2 Zn 3.14
Zn 0.0000 0.5000 0.0000  4 Ba 3.12-3.16, 4 Mn 3.14, 2 Zn 3.19
Zn 0.5000 0.0000 0.0000  4 Ba 3.12-3.16, 4 Mn 3.14, 2 Zn 3.19

Output
ΔH_f (0 K): 0.821 eV per atom
V: 23.45 A^3/atom

=====

[2]
LiSiNi2 | PBE | optimized geometry

Unit cell a=5.5948 b=5.5948 c=5.5948 alpha=90.00 beta=90.00 gamma=90.00
With the nearest neighbours (Å) after each atom.
Atoms (fractional coordinates):
Li 0.0000 0.0000 0.0000  4 Si 2.42, 4 Ni 2.42
Li 0.0000 0.5000 0.5000  4 Si 2.42, 4 Ni 2.42
Li 0.5000 0.0000 0.5000  4 Si 2.42, 4 Ni 2.42
Li 0.5000 0.5000 0.0000  4 Si 2.42, 4 Ni 2.42
Si 0.2500 0.2500 0.7500  4 Li 2.42, 4 Ni 2.42
Si 0.2500 0.7500 0.2500  4 Li 2.42, 4 Ni 2.42
Si 0.7500 0.2500 0.2500  4 Li 2.42, 4 Ni 2.42
Si 0.7500 0.7500 0.7500  4 Li 2.42, 4 Ni 2.42
Ni 0.0000 0.0000 0.5000  4 Ni 2.42, 4 Si 2.42
Ni 0.0000 0.5000 0.0000  4 Ni 2.42, 4 Si 2.42
Ni 0.2500 0.2500 0.2500  4 Li 2.42, 4 Ni 2.42
Ni 0.2500 0.7500 0.7500  4 Li 2.42, 4 Ni 2.42
Ni 0.5000 0.0000 0.0000  4 Ni 2.42, 4 Si 2.42
Ni 0.5000 0.5000 0.5000  4 Ni 2.42, 4 Si 2.42
Ni 0.7500 0.2500 0.7500  4 Li 2.42, 4 Ni 2.42
Ni 0.7500 0.7500 0.2500  4 Li 2.42, 4 Ni 2.42

Output
energy relative to the elements, uncorrected: -0.307 eV/atom
V: 10.95 A^3/atom

=====

[3]
KCa2Pd9 | PBE | optimized geometry

Unit cell a=9.3760 b=9.3760 c=9.3760 alpha=33.99 beta=33.99 gamma=33.99
With the nearest neighbours (Å) after each atom.
Atoms (fractional coordinates):
K 0.0000 0.0000 0.0000  6 Pd 3.16
Ca 0.1386 0.1386 0.1386  12 Pd 3.08-3.29
Ca 0.8614 0.8614 0.8614  12 Pd 3.08-3.29
Pd 0.0817 0.5872 0.5872  7 Pd 2.68-2.78
Pd 0.3328 0.3328 0.3328  6 Pd 2.74-2.78
Pd 0.4128 0.4128 0.9183  7 Pd 2.68-2.78
Pd 0.4128 0.9183 0.4128  7 Pd 2.68-2.78
Pd 0.5000 0.5000 0.5000  6 Pd 2.68
Pd 0.5872 0.0817 0.5872  7 Pd 2.68-2.78
Pd 0.5872 0.5872 0.0817  7 Pd 2.68-2.78
Pd 0.6672 0.6672 0.6672  6 Pd 2.74-2.78
Pd 0.9183 0.4128 0.4128  7 Pd 2.68-2.78

Output
ΔH_f (0 K): -0.365 eV per atom
V: 19.13 A^3/atom

=====

Number 1: DFT total energy -4.563 eV per atom. Number 2: DFT total energy -5.032 eV per atom. Number 3: DFT total energy -4.685 eV per atom.